A plane-wave DFT calculation with PBE with a Hubbard U was carried out for CrC2O2 after structural relaxation.

The value obtained for the raw total energy is -5.486 eV per atom. Its total magnetization is 0.000 μB/f.u. For the distance to the lowest polymorph of the same formula, the calculation gives 239.8 meV/atom.

Structure (POSCAR):
```
CrC2O2
1.0
5.586 0.000 0.000
0.000 5.586 0.000
0.000 0.000 3.230
Cr C O
2 4 4
Cartesian
0.000 0.000 0.000
2.793 2.793 0.000
1.363 1.431 0.000
1.431 4.224 0.000
4.156 1.363 0.000
4.224 4.156 0.000
1.308 1.485 1.615
1.485 4.278 1.615
4.101 1.308 1.615
4.278 4.101 1.615
```